A plane-wave DFT calculation with GGA-PBE was carried out for a geometry-optimized LaSe2 structure.

Values from the calculation:
E_form (uncorrected) in eV per atom: -1.767
Calculated density in g cm⁻³: 6.25
Fermi-level density of states in states/eV/atom: 0.07

Unit cell a=8.6403 b=4.2713 c=8.5463 alpha=90.00 beta=90.21 gamma=90.00
Last column: nearest neighbours and their distance in Å.
Space group P2_1/c (No. 14)
Unique sites:
La1 0.2235 0.2236 0.3732 x4  9 Se 3.03-3.32
Se1 0.1346 0.7423 0.1254 x4  5 La 3.03-3.23
Se2 0.4980 0.6805 0.3824 x4  1 Se 2.53

---

A plane-wave DFT calculation with GGA-PBE was carried out for a geometry-optimized LaSe structure.

Values from the calculation:
E_form (uncorrected) in eV per atom: -1.517
Calculated density in g cm⁻³: 5.17
Fermi-level density of states in states/eV/atom: 0.68

Unit cell a=14.3142 b=3.8500 c=7.6874 alpha=90.00 beta=97.50 gamma=90.00
Last column: nearest neighbours and their distance in Å.
Space group Cm (No. 8)
Unique sites:
La1 0.0000 0.0000 0.0000 x2  6 Se 3.13-3.32
La2 0.0648 0.0000 0.4617 x2  6 Se 3.02-3.07
La3 0.2530 0.0000 0.9967 x2  5 Se 2.96-3.16
Se1 0.1134 0.5000 0.7633 x2  6 La 3.02-3.23
Se2 0.1598 0.5000 0.2310 x2  6 La 3.05-3.32
Se3 0.4202 0.0000 0.2667 x2  5 La 2.96-3.13